1.
A plane-wave DFT calculation with PBE was carried out for Be5Cr after structural relaxation.

The structure in POSCAR format:
```
Be5Cr
1.0
2.3076 0.0000 0.0000
0.0000 2.3076 0.0000
0.0000 0.0000 9.7539
Be Cr
5 1
Direct
0.0000 0.0000 0.8123 Be
0.5000 0.5000 0.3447 Be
0.0000 0.0000 0.5000 Be
0.5000 0.5000 0.6553 Be
0.0000 0.0000 0.1877 Be
0.5000 0.5000 0.0000 Cr
```

Results
Electronic total energy: -27.92 eV for the cell shown
Energy of formation from the pure elements: 0.06 eV/atom
ρ: 3.10 g cm⁻³

2.
A plane-wave DFT calculation with PBE was carried out for Nb2ZnPd after structural relaxation.

The structure in POSCAR format:
```
Nb2ZnPd
1.0
4.1928 0.0000 0.0000
0.0000 3.9567 0.0000
0.0000 0.0000 3.9567
Nb Pd Zn
2 1 1
Direct
0.0000 0.0000 0.5000 Nb
0.0000 0.5000 0.0000 Nb
0.5000 0.0000 0.0000 Pd
0.5000 0.5000 0.5000 Zn
```

Results
Electronic total energy: -27.31 eV for the cell shown
Energy of formation from the pure elements: -0.18 eV/atom
ρ: 9.05 g cm⁻³

3.
A plane-wave DFT calculation with PBE was carried out for La5HoEr4 after structural relaxation.

The structure in POSCAR format:
```
La5HoEr4
1.0
3.6961 0.0000 0.0000
0.0000 3.6961 0.0000
0.0000 0.0000 24.7857
Er La Ho
4 5 1
Direct
0.0000 0.0000 0.5999 Er
0.0000 0.0000 0.2004 Er
0.0000 0.0000 0.7996 Er
0.0000 0.0000 0.4001 Er
0.5000 0.5000 0.6998 La
0.5000 0.5000 0.5000 La
0.5000 0.5000 0.3002 La
0.5000 0.5000 0.1005 La
0.5000 0.5000 0.8995 La
0.0000 0.0000 0.0000 Ho
```

Results
Electronic total energy: -47.19 eV for the cell shown
Energy of formation from the pure elements: 0.03 eV/atom
ρ: 7.50 g cm⁻³